Here is a relaxed LiU2Se4 crystal from Alexandria via LeMat-Bulk. Energies are from PBE.

Cell lengths 7.433, 7.433, 7.433 Å; angles 110.83, 106.79, 110.83 degrees
Fractional coordinates of all 14 atoms:
U (0.251, 0.626, 0.125)
U (0.499, 0.374, 0.625)
U (0.875, 0.126, 0.501)
U (0.375, 0.874, 0.749)
Se (0.632, 0.762, 0.019)
Se (0.118, 0.887, 0.380)
Se (0.769, 0.262, 0.882)
Se (0.130, 0.387, 0.368)
Se (0.981, 0.613, 0.743)
Se (0.620, 0.738, 0.507)
Se (0.257, 0.238, 0.870)
Se (0.493, 0.113, 0.231)
Li (0.750, 0.500, 0.250)
Li (0.000, 0.000, 0.000)

The spin magnetization comes out at 10.00 μB/cell. The value obtained for the total DFT energy (no corrections) is -6.670 eV/atom. Its density of states at the Fermi level is 20.717 states/eV/cell. The value obtained for the energy above the most stable polymorph in this dataset is 0.0 kJ/mol of atoms.